1.
A plane-wave DFT calculation with PBE was carried out for crystalline BaLiTmS3 at its relaxed geometry.

abc: 4.0599 8.5004 8.8963
angles: 105.84 90.00 90.00
Fractional positions:
Ba1 0.7500 0.8020 0.7556
Ba2 0.2500 0.1980 0.2444
Tm1 0.2500 0.6715 0.1584
Tm2 0.7500 0.3285 0.8416
Li1 0.7500 0.9136 0.4077
Li2 0.2500 0.0864 0.5923
S1 0.2500 0.7925 0.4712
S2 0.2500 0.1202 0.8670
S3 0.7500 0.2075 0.5288
S4 0.2500 0.5464 0.8403
S5 0.7500 0.8798 0.1330
S6 0.7500 0.4536 0.1597

Properties
DFT total energy: -64.6 eV per cell
Magnetization: 0.00 μB/f.u.


2.
A plane-wave DFT calculation with PBE was carried out for crystalline Ba2Li2TmS4 at its relaxed geometry.

abc: 4.0522 7.3237 7.6926
angles: 109.36 105.27 90.00
Fractional positions:
Ba1 0.8659 0.4429 0.7318
Ba2 0.1341 0.5571 0.2682
S1 0.5176 0.7592 0.0353
S2 0.1996 0.1825 0.3992
S3 0.4824 0.2408 0.9647
S4 0.8004 0.8175 0.6008
Li1 0.3204 0.0070 0.6408
Li2 0.6796 0.9930 0.3592
Tm1 0.0000 0.0000 0.0000

Properties
DFT total energy: -44.1 eV per cell
Magnetization: 0.02 μB/f.u.


3.
A plane-wave DFT calculation with PBE was carried out for crystalline Ba3LiU3S8 at its relaxed geometry.

abc: 8.0619 8.0623 8.6202
angles: 117.88 90.00 120.01
Each line ends with the local moment (μB).
Fractional positions:
Ba1 0.5000 0.5000 0.0000  0.07
Ba2 0.0000 0.0000 0.0000  0.07
Ba3 0.0000 0.5000 0.0000  0.07
S1 0.2383 0.9667 0.7050  -0.06
S2 0.2624 0.5248 0.2871  -0.06
S3 0.7618 0.5236 0.2951  -0.06
S4 0.7376 0.4752 0.7129  -0.06
S5 0.2716 0.0333 0.2950  -0.06
S6 0.7617 0.0333 0.2950  -0.06
S7 0.2382 0.4764 0.7049  -0.06
S8 0.7284 0.9667 0.7050  -0.06
U1 0.5000 0.0000 0.5000  2.44
U2 0.0000 0.5000 0.5000  2.44
U3 0.5000 0.5000 0.5000  2.44
Li1 0.0000 0.0000 0.5000  0.00

Properties
DFT total energy: -98.1 eV per cell
Magnetization: 8.44 μB/f.u.


4.
A plane-wave DFT calculation with PBE was carried out for crystalline Ba2LiUS4 at its relaxed geometry.

abc: 4.2218 7.4018 7.2416
angles: 71.03 90.00 90.00
Each line ends with the local moment (μB).
Fractional positions:
S1 0.0000 0.7109 0.7508  -0.03
S2 0.5000 0.2895 0.7305  -0.05
S3 0.0000 0.2891 0.2492  -0.03
S4 0.5000 0.7105 0.2695  -0.05
U1 0.0000 0.5000 0.5000  2.49
Li1 0.5000 0.5000 0.0000  0.00
Ba1 0.0000 0.0000 0.0000  0.06
Ba2 0.5000 0.0000 0.5000  0.04

Properties
DFT total energy: -46.4 eV per cell
Magnetization: 2.91 μB/f.u.


5.
A plane-wave DFT calculation with PBE was carried out for crystalline BaLi2U2S6 at its relaxed geometry.

abc: 7.0810 9.7167 6.6216
angles: 133.18 90.55 68.24
Each line ends with the local moment (μB).
Fractional positions:
S1 0.8924 0.6096 0.3483  -0.06
S2 0.5023 0.3899 0.1287  -0.06
S3 0.8886 0.0002 0.2609  -0.06
S4 0.4977 0.6101 0.8713  -0.06
S5 0.1114 0.9998 0.7391  -0.06
S6 0.1076 0.3904 0.6517  -0.06
U1 0.8332 0.3334 0.8333  2.03
U2 0.1668 0.6666 0.1667  2.03
Li1 0.8358 0.3292 0.3290  0.00
Li2 0.1642 0.6708 0.6710  0.00
Ba1 0.5000 0.0000 0.5000  0.02

Properties
DFT total energy: -69.0 eV per cell
Magnetization: 4.00 μB/f.u.


6.
A plane-wave DFT calculation with PBE was carried out for crystalline Ba3LiU2S9 at its relaxed geometry.

abc: 7.1774 7.1774 8.8936
angles: 90.00 90.00 120.00
Each line ends with the local moment (μB).
Fractional positions:
S1 0.5000 0.0000 0.0000  -0.02
S2 0.1654 0.8346 0.3334  -0.02
S3 0.5000 0.5000 0.0000  -0.02
S4 0.0000 0.5000 0.0000  -0.02
S5 0.8346 0.1654 0.6666  -0.02
S6 0.3307 0.1654 0.6666  -0.02
S7 0.1654 0.3307 0.3334  -0.02
S8 0.6693 0.8346 0.3334  -0.02
S9 0.8346 0.6693 0.6666  -0.02
U1 0.6667 0.3333 0.8205  0.63
U2 0.3333 0.6667 0.1795  0.63
Ba1 0.6667 0.3333 0.3526  0.00
Ba2 0.3333 0.6667 0.6474  0.00
Ba3 0.0000 0.0000 0.0000  0.00
Li1 0.0000 0.0000 0.5000  0.00

Properties
DFT total energy: -91.6 eV per cell
Magnetization: 1.01 μB/f.u.


7.
A plane-wave DFT calculation with PBE was carried out for crystalline BaLi2U2S7 at its relaxed geometry.

abc: 5.2211 5.2211 11.2533
angles: 103.43 103.41 90.00
Each line ends with the local moment (μB).
Fractional positions:
Li1 0.7500 0.2505 0.5001  0.00
Li2 0.2500 0.7494 0.5000  0.00
S1 0.6122 0.1123 0.2243  -0.06
S2 0.2610 0.2607 0.5219  -0.05
S3 0.1122 0.6123 0.2243  -0.06
S4 0.8878 0.3877 0.7756  -0.06
S5 0.7391 0.7392 0.4781  -0.05
S6 0.3878 0.8876 0.7756  -0.06
S7 0.5000 0.5000 0.0000  -0.06
U1 0.6221 0.6222 0.2442  1.18
U2 0.3779 0.3777 0.7558  1.18
Ba1 0.0000 0.0000 0.0000  0.00

Properties
DFT total energy: -74.3 eV per cell
Magnetization: 2.00 μB/f.u.


8.
A plane-wave DFT calculation with PBE was carried out for crystalline Ba2LiUS6 at its relaxed geometry.

abc: 7.1726 7.0606 10.0449
angles: 90.00 89.79 90.00
Fractional positions:
S1 0.2651 0.7342 0.4769
S2 0.5463 0.0018 0.2500
S3 0.9537 0.5018 0.2500
S4 0.2635 0.7365 0.0238
S5 0.0463 0.4982 0.7500
S6 0.2349 0.2342 0.0231
S7 0.7349 0.2658 0.5231
S8 0.7635 0.7635 0.5238
S9 0.7651 0.7658 0.9769
S10 0.4537 0.9982 0.7500
S11 0.7365 0.2635 0.9762
S12 0.2365 0.2365 0.4762
Ba1 0.5028 0.5166 0.7527
Ba2 0.0028 0.9834 0.2527
Ba3 0.9972 0.0166 0.7473
Ba4 0.4972 0.4834 0.2473
Li1 0.0000 0.5000 0.5000
Li2 0.5000 0.0000 0.0000
U1 0.5000 0.0000 0.5000
U2 0.0000 0.5000 0.0000

Properties
DFT total energy: -113.4 eV per cell
Magnetization: 0.00 μB/f.u.


9.
A plane-wave DFT calculation with PBE was carried out for crystalline BaLi3U4S12 at its relaxed geometry.

abc: 8.5751 8.5751 8.5751
angles: 109.47 109.47 109.47
Each line ends with the local moment (μB).
Fractional positions:
S1 0.6978 0.1765 0.8743  -0.06
S2 0.3022 0.8235 0.1257  -0.06
S3 0.1257 0.3022 0.8235  -0.06
S4 0.6978 0.8235 0.5213  -0.06
S5 0.3022 0.1765 0.4787  -0.06
S6 0.8743 0.6978 0.1765  -0.06
S7 0.5213 0.6978 0.8235  -0.06
S8 0.1765 0.8743 0.6978  -0.06
S9 0.4787 0.3022 0.1765  -0.06
S10 0.8235 0.1257 0.3022  -0.06
S11 0.8235 0.5213 0.6978  -0.06
S12 0.1765 0.4787 0.3022  -0.06
U1 0.5000 0.5000 0.5000  1.43
U2 0.5000 0.0000 0.0000  1.43
U3 0.0000 0.0000 0.5000  1.43
U4 0.0000 0.5000 0.0000  1.43
Li1 0.0000 0.5000 0.5000  0.00
Li2 0.5000 0.0000 0.5000  0.00
Li3 0.5000 0.5000 0.0000  0.00
Ba1 0.0000 0.0000 0.0000  0.00

Properties
DFT total energy: -129.5 eV per cell
Magnetization: 5.00 μB/f.u.


10.
A plane-wave DFT calculation with PBE was carried out for crystalline Ba3Li2US6 at its relaxed geometry.

abc: 7.3145 7.3145 7.9703
angles: 90.00 90.00 120.00
Each line ends with the local moment (μB).
Fractional positions:
Ba1 0.0000 0.0000 0.0000  0.02
Ba2 0.3333 0.6667 0.6064  0.01
Ba3 0.6667 0.3333 0.3936  0.01
Li1 0.6667 0.3333 0.8192  0.00
Li2 0.3333 0.6667 0.1808  0.00
S1 0.8331 0.1669 0.7019  -0.03
S2 0.1669 0.8331 0.2981  -0.03
S3 0.6662 0.8331 0.2981  -0.03
S4 0.3338 0.1669 0.7019  -0.03
S5 0.1669 0.3338 0.2981  -0.03
S6 0.8331 0.6662 0.7019  -0.03
U1 0.0000 0.0000 0.5000  1.81

Properties
DFT total energy: -64.6 eV per cell
Magnetization: 1.98 μB/f.u.


11.
A plane-wave DFT calculation with PBE was carried out for crystalline BaLiU2S4 at its relaxed geometry.

abc: 4.0615 6.9642 13.7410
angles: 90.00 90.00 106.95
Each line ends with the local moment (μB).
Fractional positions:
S1 0.0000 0.0000 0.0000  -0.09
S2 0.7375 0.4749 0.8863  -0.05
S3 0.4309 0.8619 0.7500  -0.04
S4 0.0000 0.0000 0.5000  -0.09
S5 0.2625 0.5251 0.1137  -0.05
S6 0.5691 0.1381 0.2500  -0.04
S7 0.7375 0.4749 0.6137  -0.05
S8 0.2625 0.5251 0.3863  -0.05
Ba1 0.8875 0.7749 0.2500  0.05
Ba2 0.1125 0.2251 0.7500  0.05
Li1 0.8427 0.6854 0.7500  0.01
Li2 0.1573 0.3146 0.2500  0.01
U1 0.6295 0.2591 0.4454  2.72
U2 0.3705 0.7409 0.5546  2.72
U3 0.6295 0.2591 0.0546  2.72
U4 0.3705 0.7409 0.9454  2.72

Properties
DFT total energy: -109.6 eV per cell
Magnetization: 6.41 μB/f.u.


12.
A plane-wave DFT calculation with PBE was carried out for crystalline Ba4LiU3S12 at its relaxed geometry.

abc: 8.9484 8.9484 8.9484
angles: 109.47 109.47 109.47
Each line ends with the local moment (μB).
Fractional positions:
Ba1 0.5000 0.0000 0.0000  0.00
Ba2 0.0000 0.0000 0.5000  0.00
Ba3 0.5000 0.5000 0.5000  0.00
Ba4 0.0000 0.5000 0.0000  0.00
S1 0.2500 0.7500 0.5000  -0.04
S2 0.7447 0.7447 0.0000  -0.04
S3 0.7500 0.5000 0.2500  -0.04
S4 0.5000 0.2500 0.7500  -0.04
S5 0.7500 0.2500 0.5000  -0.04
S6 0.2500 0.5000 0.7500  -0.04
S7 0.2553 0.2553 0.0000  -0.04
S8 0.0000 0.2553 0.2553  -0.04
S9 0.0000 0.7447 0.7447  -0.04
S10 0.7447 0.0000 0.7447  -0.04
S11 0.5000 0.7500 0.2500  -0.04
S12 0.2553 0.0000 0.2553  -0.04
U1 0.5000 0.0000 0.5000  1.15
U2 0.0000 0.5000 0.5000  1.15
U3 0.5000 0.5000 0.0000  1.15
Li1 0.0000 0.0000 0.0000  -0.01

Properties
DFT total energy: -125.6 eV per cell
Magnetization: 3.01 μB/f.u.